(1)
Computed, not measured: a relaxed Nd2Sm2CBr2Cl3 crystal at the GGA-PBE level of DFT.

For the total energy, the calculation gives -5.297 eV per atom. As for the calculated density: 5.3 Mg/m³. The calculation puts the excess energy over the best structure of this formula in the dataset at 0.003 eV/atom.

Cell: 17.6933 3.8951 8.1320 Å, 90.00 102.78 90.00°
Last column: nearest neighbours and their distance in Å.
Space group C2/m (No. 12)
One atom of each set of equivalent atoms:
Nd  0.0032  0.0000  0.2871  2 C 2.61, 1 Cl 2.93
Sm  0.1434  0.5000  0.5768  1 C 2.48
C  0.0000  0.5000  0.5000  2 Sm 2.48, 4 Nd 2.61
Br  0.1682  0.0000  0.8498  2 Sm 2.91, 1 Nd 2.99
Cl  0.0000  0.5000  0.0000  4 Nd 3.03
Cl  0.1725  0.0000  0.3454  2 Sm 2.83, 1 Nd 2.93



(2)
Computed, not measured: a relaxed LaTa crystal at the GGA-PBE level of DFT.

For the total energy, the calculation gives -6.828 eV per atom. As for the calculated density: 9.4 Mg/m³. The calculation puts the excess energy over the best structure of this formula in the dataset at 0.899 eV/atom.

Cell: 6.0978 6.0978 6.0978 Å, 90.00 90.00 90.00°
Last column: nearest neighbours and their distance in Å.
Space group Fm-3m (No. 225)
One atom of each set of equivalent atoms:
La  0.0000  0.0000  0.0000  6 Ta 3.05
Ta  0.0000  0.0000  0.5000  6 La 3.05